! Mg4CoCl (GGA-PBEsol, optimized geometry); values from VASP
&SYSTEM
  ibrav = 0, nat = 6, ntyp = 3
/
ATOMIC_SPECIES
Mg 24.30 Mg.upf
Co 58.93 Co.upf
Cl 35.45 Cl.upf
ATOMIC_POSITIONS crystal
Mg 0.376 0.376 0.376
Mg 0.376 0.376 0.872
Mg 0.376 0.872 0.376
Mg 0.872 0.376 0.376
Co 0.750 0.750 0.750
Cl 0.000 0.000 0.000
CELL_PARAMETERS angstrom
0.000 3.980 3.980
3.980 0.000 3.980
3.980 3.980 0.000
! * formation energy without anion corrections: 2.58 eV per formula unit
! * DOS(E_F): 0.6116 states/eV per atom
! * total magnetic moment: 1.3 Bohr magnetons per cell

! MgCoCl2 (GGA-PBEsol, optimized geometry); values from VASP
&SYSTEM
  ibrav = 0, nat = 4, ntyp = 3
/
ATOMIC_SPECIES
Mg 24.30 Mg.upf
Co 58.93 Co.upf
Cl 35.45 Cl.upf
ATOMIC_POSITIONS crystal
Mg 0.000 0.000 0.000
Co 0.000 0.000 0.500
Cl 0.500 0.500 0.291
Cl 0.500 0.500 0.709
CELL_PARAMETERS angstrom
1.610 -2.989 0.000
1.610 2.989 0.000
0.000 0.000 7.848
! * formation energy without anion corrections: -0.95 eV per formula unit
! * DOS(E_F): 1.1119 states/eV per atom
! * total magnetic moment: 1.8 Bohr magnetons per cell
! * ΔE to the lowest computed polymorph: 0.103 eV per atom

! MgCoPCl2 (GGA-PBEsol, optimized geometry); values from VASP
&SYSTEM
  ibrav = 0, nat = 5, ntyp = 4
/
ATOMIC_SPECIES
Mg 24.30 Mg.upf
Co 58.93 Co.upf
P 30.97 P.upf
Cl 35.45 Cl.upf
ATOMIC_POSITIONS crystal
Mg 0.000 0.000 0.000
Co 0.500 0.500 0.500
P 0.500 0.500 0.000
Cl 0.000 0.500 0.500
Cl 0.500 0.000 0.500
CELL_PARAMETERS angstrom
4.585 0.000 0.000
0.000 4.585 0.000
0.000 0.000 4.382
! * formation energy without anion corrections: -0.78 eV per formula unit
! * DOS(E_F): 0.6299 states/eV per atom
! * total magnetic moment: 0.0 Bohr magnetons per cell

! MnCoCl2 (GGA-PBEsol, optimized geometry); values from VASP
&SYSTEM
  ibrav = 0, nat = 4, ntyp = 3
/
ATOMIC_SPECIES
Mn 54.94 Mn.upf
Co 58.93 Co.upf
Cl 35.45 Cl.upf
ATOMIC_POSITIONS crystal
Mn 0.000 0.000 0.000
Co 0.500 0.500 0.500
Cl 0.244 0.244 0.244
Cl 0.756 0.756 0.756
CELL_PARAMETERS angstrom
1.567 0.905 7.129
-1.567 0.905 7.129
0.000 -1.809 7.129
! * formation energy without anion corrections: 0.74 eV per formula unit
! * DOS(E_F): 0.5931 states/eV per atom
! * total magnetic moment: 6.0 Bohr magnetons per cell
! * ΔE to the lowest computed polymorph: 0.252 eV per atom

! MnCo2Cl (GGA-PBEsol, optimized geometry); values from VASP
&SYSTEM
  ibrav = 0, nat = 4, ntyp = 3
/
ATOMIC_SPECIES
Mn 54.94 Mn.upf
Co 58.93 Co.upf
Cl 35.45 Cl.upf
ATOMIC_POSITIONS crystal
Mn 0.000 0.000 0.000
Co 0.000 0.000 0.562
Co 0.500 0.500 0.760
Cl 0.500 0.500 0.274
CELL_PARAMETERS angstrom
2.841 0.000 0.000
0.000 2.841 0.000
0.000 0.000 6.468
! * formation energy without anion corrections: 1.16 eV per formula unit
! * DOS(E_F): 0.6522 states/eV per atom
! * total magnetic moment: 7.3 Bohr magnetons per cell
! * ΔE to the lowest computed polymorph: 0.000 eV per atom

! MnCoCl2 (GGA-PBEsol, optimized geometry); values from VASP
&SYSTEM
  ibrav = 0, nat = 4, ntyp = 3
/
ATOMIC_SPECIES
Mn 54.94 Mn.upf
Co 58.93 Co.upf
Cl 35.45 Cl.upf
ATOMIC_POSITIONS crystal
Mn 0.000 0.000 0.000
Co 0.500 0.500 0.225
Cl 0.000 0.000 0.387
Cl 0.500 0.500 0.802
CELL_PARAMETERS angstrom
1.843 -2.448 0.000
1.843 2.448 0.000
0.000 0.000 7.667
! * formation energy without anion corrections: -0.27 eV per formula unit
! * DOS(E_F): 0.8491 states/eV per atom
! * total magnetic moment: 5.9 Bohr magnetons per cell
! * ΔE to the lowest computed polymorph: 0.000 eV per atom